A geometry-optimized Li5U3Se12 structure. Source: Alexandria, functional PBE.

Results
For the density of states at the Fermi level, the calculation gives 0.67 states/eV/atom. Its symmetry is Ia-3d. As for the uncorrected formation energy: -0.861 eV/atom.

Unit cell a=13.428 b=13.428 c=13.428 alpha=109.47 beta=109.47 gamma=109.47
Last column: magnetic moment on the atom in μB.
Fractional coordinates of all 80 atoms:
U1 0.750 0.375 0.125  -0.27
U2 0.875 0.750 0.125  -0.27
U3 0.375 0.750 0.625  -0.27
U4 0.250 0.125 0.375  -0.27
U5 0.875 0.125 0.250  -0.27
U6 0.375 0.625 0.250  -0.27
U7 0.625 0.375 0.750  -0.27
U8 0.125 0.875 0.750  -0.27
U9 0.750 0.875 0.625  -0.27
U10 0.625 0.250 0.375  -0.27
U11 0.125 0.250 0.875  -0.27
U12 0.250 0.625 0.875  -0.27
Se1 0.724 0.133 0.048  0.04
Se2 0.324 0.548 0.415  0.04
Se3 0.952 0.367 0.276  0.04
Se4 0.548 0.224 0.133  0.04
Se5 0.591 0.724 0.676  0.04
Se6 0.952 0.585 0.176  0.04
Se7 0.324 0.776 0.409  0.04
Se8 0.085 0.909 0.133  0.04
Se9 0.585 0.952 0.676  0.04
Se10 0.724 0.591 0.176  0.04
Se11 0.776 0.452 0.367  0.04
Se12 0.824 0.915 0.048  0.04
Se13 0.133 0.724 0.548  0.04
Se14 0.367 0.415 0.091  0.04
Se15 0.091 0.915 0.367  0.04
Se16 0.409 0.133 0.585  0.04
Se17 0.091 0.176 0.224  0.04
Se18 0.452 0.676 0.085  0.04
Se19 0.824 0.909 0.276  0.04
Se20 0.133 0.409 0.085  0.04
Se21 0.367 0.952 0.776  0.04
Se22 0.585 0.633 0.409  0.04
Se23 0.915 0.824 0.548  0.04
Se24 0.776 0.324 0.909  0.04
Se25 0.415 0.367 0.591  0.04
Se26 0.085 0.176 0.452  0.04
Se27 0.224 0.676 0.091  0.04
Se28 0.176 0.091 0.724  0.04
Se29 0.633 0.048 0.224  0.04
Se30 0.867 0.591 0.915  0.04
Se31 0.548 0.324 0.915  0.04
Se32 0.591 0.867 0.415  0.04
Se33 0.909 0.824 0.776  0.04
Se34 0.909 0.085 0.633  0.04
Se35 0.867 0.276 0.452  0.04
Se36 0.176 0.085 0.952  0.04
Se37 0.633 0.585 0.909  0.04
Se38 0.415 0.048 0.324  0.04
Se39 0.276 0.409 0.824  0.04
Se40 0.224 0.548 0.633  0.04
Se41 0.915 0.091 0.867  0.04
Se42 0.676 0.224 0.591  0.04
Se43 0.452 0.776 0.867  0.04
Se44 0.048 0.415 0.824  0.04
Se45 0.409 0.276 0.324  0.04
Se46 0.048 0.633 0.724  0.04
Se47 0.676 0.452 0.585  0.04
Se48 0.276 0.867 0.952  0.04
Li1 0.125 0.375 0.250  0.00
Li2 0.000 0.500 0.000  0.00
Li3 0.000 0.000 0.000  0.00
Li4 0.375 0.250 0.125  0.00
Li5 0.500 0.000 0.500  0.00
Li6 0.500 0.500 0.000  0.00
Li7 0.125 0.750 0.375  0.00
Li8 0.750 0.125 0.875  0.00
Li9 0.750 0.625 0.375  0.00
Li10 0.375 0.125 0.750  0.00
Li11 0.625 0.875 0.250  0.00
Li12 0.500 0.500 0.500  0.00
Li13 0.500 0.000 0.000  0.00
Li14 0.000 0.000 0.500  0.00
Li15 0.250 0.375 0.625  0.00
Li16 0.250 0.875 0.125  0.00
Li17 0.000 0.500 0.500  0.00
Li18 0.875 0.250 0.625  0.00
Li19 0.625 0.750 0.875  0.00
Li20 0.875 0.625 0.750  0.00

=====

A geometry-optimized Li2USe3 structure. Source: Alexandria, functional PBE.

Results
For the density of states at the Fermi level, the calculation gives 0.72 states/eV/atom. Its symmetry is Cmmm. As for the uncorrected formation energy: -1.212 eV/atom.

Unit cell a=4.174 b=5.681 c=6.887 alpha=114.36 beta=90.00 gamma=90.00
Last column: magnetic moment on the atom in μB.
Fractional coordinates of all 6 atoms:
Li1 0.500 0.363 0.726  0.00
Li2 0.500 0.637 0.274  0.00
U1 0.000 0.000 0.000  2.10
Se1 0.500 0.849 0.698  -0.06
Se2 0.500 0.151 0.302  -0.06
Se3 0.000 0.500 0.000  -0.04